ScTlZnS3 (PBE, optimized geometry); SG = Cmcm (63); excess energy over the best structure of this formula in the dataset = 0.9 meV per atom
1.0
-1.3399 -5.5533 4.6441
-0.1981 -7.2209 1.4220
9.5288 0.3662 3.1871
S Sc Tl Zn
6 2 2 2
Cartesian
-0.1092 -4.8107 2.4511
2.2917 -0.6603 1.1538
3.7108 -4.6639 3.7287
4.2800 -7.7440 5.5245
5.6991 -11.7476 8.0995
8.1000 -7.5972 6.8022
0.0000 0.0000 0.0000
4.7644 0.1831 1.5936
1.2383 -9.4088 5.3083
6.7524 -2.9991 3.9450
1.6788 -5.7501 3.5708
6.3119 -6.6578 5.6824

***

Sc2ZnS4 (PBE, optimized geometry); SG = Fd-3m (227); DFT total energy = -5.941 eV/atom
1.0
0.0000 5.2572 5.2572
5.2572 0.0000 5.2572
5.2572 5.2572 0.0000
S Sc Zn
8 4 2
Cartesian
6.5214 6.5214 9.2503
3.8928 3.8928 3.8928
6.6217 3.8928 6.6217
3.8928 6.6217 6.6217
6.5214 9.2503 6.5214
9.2503 6.5214 6.5214
9.2503 9.2503 9.2503
6.6217 6.6217 3.8928
1.3143 1.3143 1.3143
1.3143 3.9429 3.9429
3.9429 1.3143 3.9429
3.9429 3.9429 1.3143
5.2572 5.2572 5.2572
7.8859 7.8859 7.8859

***

Zr2Si2SeS (PBE, optimized geometry); SG = P4mm (99); DFT total energy = -7.057 eV/atom
1.0
3.5836 0.0000 0.0000
0.0000 3.5836 0.0000
0.0000 0.0000 8.4065
S Se Si Zr
1 1 2 2
Cartesian
0.0000 0.0000 3.1035
1.7918 1.7918 5.2040
1.7918 0.0000 0.0212
0.0000 1.7918 0.0212
1.7918 1.7918 2.2024
0.0000 0.0000 6.2606

***

Sm3SeS2 (PBE, optimized geometry); SG = P-3m1 (164); DFT total energy = -6.270 eV/atom
1.0
4.0586 0.0000 0.0000
-2.0293 3.5148 0.0000
0.0000 0.0000 9.9606
S Se Sm
2 1 3
Cartesian
2.0293 1.1716 3.3706
0.0000 2.3432 6.5900
0.0000 0.0000 0.0000
0.0000 2.3432 1.7986
0.0000 0.0000 4.9803
2.0293 1.1716 8.1619

***

ZrSnSeS3 (PBE, optimized geometry); SG = Pmn2_1 (31); excess energy over the best structure of this formula in the dataset = 0.0 meV per atom
1.0
-1.7412 1.0715 3.1063
-0.8569 -6.2758 1.6845
11.2027 0.1426 6.2304
S Se Sn Zr
6 2 2 2
Cartesian
0.1564 -1.8223 2.9422
0.6501 -5.3766 2.2190
2.8946 -4.5589 5.4211
6.4201 -3.8121 4.9137
5.9970 -0.2569 5.6762
9.9165 -0.9962 5.9022
4.0085 -1.8127 2.8722
8.3921 -3.7475 8.2228
4.3098 -2.3891 5.4659
10.7430 -3.1374 7.1041
-0.6615 0.3154 1.7464
5.0146 -5.9780 4.8730

***

ZrSnSe3S (PBE, optimized geometry); SG = Pmn2_1 (31); excess energy over the best structure of this formula in the dataset = 0.0 meV per atom
1.0
-1.3884 3.4112 0.8057
-1.5544 -2.1049 6.2335
12.0149 3.8737 4.3042
S Se Sn Zr
2 6 2 2
Cartesian
0.1033 -1.3666 5.9641
6.5758 3.8456 3.8704
0.2070 1.3804 3.3327
4.2278 0.9023 3.4655
2.7047 1.4769 7.2286
6.5478 1.1230 6.5290
8.8798 3.6493 8.6720
10.4195 3.0801 4.9149
4.4607 2.5832 5.5706
11.1284 2.7685 7.4559
-0.4135 1.7524 0.6884
4.8184 -0.0066 8.3315

***

ZrSnSe2S2 (PBE, optimized geometry); SG = Pmn2_1 (31); excess energy over the best structure of this formula in the dataset = 0.0 meV per atom
1.0
3.7511 0.0000 0.0000
0.0000 6.6541 0.0000
0.0000 0.0000 13.1392
S Se Sn Zr
4 4 2 2
Cartesian
1.8756 2.4540 1.5226
0.0000 2.0804 5.2477
0.0000 4.2000 8.0922
1.8756 4.5736 11.8173
0.0000 5.7830 1.7139
1.8756 5.3769 5.0413
1.8756 0.8711 8.2835
0.0000 1.2772 11.6109
1.8756 0.1826 0.0789
0.0000 6.4715 6.6485
0.0000 3.5197 0.1154
1.8756 3.1344 6.6850

***

TaSeS (PBE, optimized geometry); SG = Cmc2_1 (36); excess energy over the best structure of this formula in the dataset = 0.0 meV per atom
1.0
1.7046 -11.2127 0.0000
1.7046 11.2127 0.0000
0.0000 0.0000 5.8823
S Se Ta
2 2 2
Cartesian
1.7046 -7.1053 1.4536
1.7046 7.1053 4.3948
1.7046 -3.8645 1.4644
1.7046 3.8645 4.4055
1.7046 5.6183 0.4819
1.7046 -5.6183 3.4230

***

TaSeS (PBE, optimized geometry); SG = Aem2 (39); excess energy over the best structure of this formula in the dataset = 6.4 meV per atom
1.0
-21.9403 6.9872 2.2651
-0.5648 -2.4987 2.2373
0.5149 0.5411 3.3181
S Se Ta
2 2 2
Cartesian
-4.2826 -0.4723 2.9292
-17.7078 5.4949 4.9114
-7.3468 0.5035 3.2456
-14.6436 4.5191 4.5950
-16.8279 3.1941 5.1491
-5.1791 1.1762 4.5426

***

TaSeS (PBE, optimized geometry); SG = Amm2 (38); excess energy over the best structure of this formula in the dataset = 16.2 meV per atom
1.0
-0.2625 -8.8925 21.3941
1.6921 -2.7297 -1.1139
3.3991 -0.0222 0.0325
S Se Ta
2 2 2
Cartesian
3.8100 -2.6610 0.6115
3.5825 -10.3693 19.1567
1.1699 -4.4874 8.8566
1.1314 -5.7910 11.9929
2.1303 -1.1515 -0.4525
4.5446 -6.9737 9.7039

***

TaSeS (PBE, optimized geometry); SG = Cmm2 (35); excess energy over the best structure of this formula in the dataset = 1.2 meV per atom
1.0
1.6985 -11.3709 0.0000
1.6985 11.3709 0.0000
0.0000 0.0000 5.9094
S Se Ta
2 2 2
Cartesian
1.6985 -9.7936 4.4079
1.6985 9.7936 4.4079
1.6985 -1.6702 1.4803
1.6985 1.6702 1.4803
0.0000 0.0000 0.3981
1.6985 0.0000 3.5209

***

TaSeS (PBE, optimized geometry); SG = Ama2 (40); excess energy over the best structure of this formula in the dataset = 0.5 meV per atom
1.0
-2.1197 -1.9440 -1.8199
8.5178 -2.0116 -7.7721
-5.8082 -2.8096 9.7661
S Se Ta
2 2 2
Cartesian
2.3914 -3.7072 -3.5992
-1.8178 -3.0287 3.7612
4.4470 -3.6040 -6.1036
-3.8611 -3.1538 6.2747
3.9593 -1.8857 -4.1885
-4.2809 -3.2577 3.6919